The following is a DFT calculation (PBE) of a relaxed structure of K2SnAuI6.

## Properties
N(E_F): 4.07 states/eV per cell
electronic total energy: -2.6039 eV/atom
M_tot: 0.00 Bohr magnetons per cell
raw formation energy: -0.726 eV/atom

Unit cell a=8.2642 b=8.5511 c=14.0942 alpha=90.00 beta=125.35 gamma=90.00
Closest atoms and distances in Å follow each position.
Space group P2_1/c (No. 14)
Inequivalent atoms, fractional coordinates:
K: 0.2249 0.0734 0.2491 x4  8 I 3.65-4.07
Sn: 0.0000 0.0000 0.5000 x2  6 I 3.07-3.09
Au: 0.5000 0.0000 0.0000 x2  6 I 2.86-3.06
I: 0.1647 0.2052 0.9583 x4  1 Au 3.04, 1 Sn 3.08
I: 0.2516 0.7076 0.9548 x4  1 Au 3.06, 1 Sn 3.07
I: 0.3499 0.0150 0.7596 x4  1 Au 2.86, 1 Sn 3.09



The following is a DFT calculation (PBE) of a relaxed structure of K2SrAu2I6.

## Properties
N(E_F): 0.00 states/eV per cell
electronic total energy: -2.7418 eV/atom
M_tot: 0.00 Bohr magnetons per cell
raw formation energy: -0.948 eV/atom

Unit cell a=15.0290 b=8.8157 c=8.6258 alpha=90.00 beta=121.23 gamma=90.00
Closest atoms and distances in Å follow each position.
Space group C2/m (No. 12)
Inequivalent atoms, fractional coordinates:
K: 0.2488 0.0000 0.2027 x4  5 I 3.50-3.63
Sr: 0.0000 0.0000 0.5000 x2  6 I 3.29-3.30
Au: 0.0434 0.5000 0.2029 x4  3 I 2.73-2.77, 1 Au 3.04
I: 0.0738 0.2460 0.8314 x8  1 Au 2.77
I: 0.2445 0.0000 0.6042 x4  1 Au 2.73



The following is a DFT calculation (PBE) of a relaxed structure of KTaAuI2.

## Properties
N(E_F): 6.44 states/eV per cell
electronic total energy: -2.7901 eV/atom
M_tot: 4.15 Bohr magnetons per cell
raw formation energy: 1.075 eV/atom

Unit cell a=5.7673 b=5.7673 c=5.7622 alpha=90.00 beta=90.00 gamma=90.00
Closest atoms and distances in Å follow each position.
Space group P4/mmm (No. 123)
Inequivalent atoms, fractional coordinates:
K: 0.0000 0.0000 0.0000 x1  2 Au 2.88
Ta: 0.5000 0.5000 0.0000 x1  8 I 4.08, 4 K 4.08
Au: 0.0000 0.0000 0.5000 x1  2 K 2.88, 4 I 2.88
I: 0.0000 0.5000 0.5000 x2  2 Au 2.88



The following is a DFT calculation (PBE) of a relaxed structure of K2TcAuI.

## Properties
N(E_F): 14.20 states/eV per cell
electronic total energy: -2.6452 eV/atom
M_tot: 4.06 Bohr magnetons per cell
raw formation energy: 0.832 eV/atom

Unit cell a=6.5921 b=6.5921 c=5.6038 alpha=90.00 beta=90.00 gamma=90.00
Closest atoms and distances in Å follow each position.
Space group P4/mmm (No. 123)
Inequivalent atoms, fractional coordinates:
K: 0.0000 0.5000 0.0000 x2  2 I 3.30
Tc: 0.0000 0.0000 0.5000 x1  8 K 4.33, 4 Au 4.66
Au: 0.5000 0.5000 0.5000 x1  2 I 2.80
I: 0.5000 0.5000 0.0000 x1  2 Au 2.80



The following is a DFT calculation (PBE) of a relaxed structure of KTe2AuI.

## Properties
N(E_F): 6.55 states/eV per cell
electronic total energy: -2.6485 eV/atom
energy above the most stable polymorph in this dataset: 0.0 meV/atom
M_tot: 0.00 Bohr magnetons per cell
raw formation energy: -0.207 eV/atom

Unit cell a=5.5352 b=5.5352 c=5.9567 alpha=90.00 beta=90.00 gamma=90.00
Closest atoms and distances in Å follow each position.
Space group P4/mmm (No. 123)
Inequivalent atoms, fractional coordinates:
K: 0.0000 0.0000 0.0000 x1  4 I 3.91, 8 Te 4.07
Te: 0.0000 0.5000 0.5000 x2  2 Au 2.77
Au: 0.5000 0.5000 0.5000 x1  4 Te 2.77, 2 I 2.98
I: 0.5000 0.5000 0.0000 x1  2 Au 2.98



The following is a DFT calculation (PBE) of a relaxed structure of KTe2AuI.

## Properties
N(E_F): 4.28 states/eV per cell
electronic total energy: -1.5908 eV/atom
energy above the most stable polymorph in this dataset: 1057.7 meV/atom
M_tot: 3.19 Bohr magnetons per cell
raw formation energy: 0.851 eV/atom

Unit cell a=6.5035 b=6.5035 c=6.2940 alpha=90.00 beta=90.00 gamma=90.00
Closest atoms and distances in Å follow each position.
Space group P4/mmm (No. 123)
Inequivalent atoms, fractional coordinates:
K: 0.0000 0.0000 0.0000 x1  2 I 3.15, 4 Te 3.25
Te: 0.0000 0.5000 0.0000 x2  2 K 3.25
Au: 0.5000 0.5000 0.5000 x1  8 Te 4.53, 4 I 4.60
I: 0.0000 0.0000 0.5000 x1  2 K 3.15